A.
ErTlPO | PBE | relaxed

Results
Total magnetic moment   0.0 μB/cell

Geometry as CIF:
```
data_ErTlPO
_chemical_formula_sum 'Er1 Tl1 P1 O1'
_cell_length_a 3.9941
_cell_length_b 3.9941
_cell_length_c 4.9552
_cell_angle_alpha 90.00
_cell_angle_beta 90.00
_cell_angle_gamma 90.00
_symmetry_space_group_name_H-M 'P 4/m m m'
_symmetry_Int_Tables_number 123
_symmetry_space_group_name_Hall '-P 4 2'
loop_
_atom_site_label
_atom_site_type_symbol
_atom_site_fract_x
_atom_site_fract_y
_atom_site_fract_z
_atom_site_occupancy
Er1 Er 0.0000 0.0000 0.0000 1
Tl1 Tl 0.5000 0.5000 0.5000 1
P1 P 0.5000 0.5000 0.0000 1
O1 O 0.0000 0.0000 0.5000 1
```



B.
ErTlPO | PBE | relaxed

Results
Total magnetic moment   0.5 μB/cell

Geometry as CIF:
```
data_ErTlPO
_chemical_formula_sum 'Er2 Tl2 P2 O2'
_cell_length_a 4.1271
_cell_length_b 4.1271
_cell_length_c 9.4163
_cell_angle_alpha 90.00
_cell_angle_beta 90.00
_cell_angle_gamma 90.00
_symmetry_space_group_name_H-M 'P 4/n m m'
_symmetry_Int_Tables_number 129
loop_
_symmetry_equiv_pos_as_xyz
'x,y,z'
'-x,-y,-z'
'-y+1/2,x,z'
'y+1/2,-x,-z'
'-x+1/2,-y+1/2,z'
'x+1/2,y+1/2,-z'
'y,-x+1/2,z'
'-y,x+1/2,-z'
'x+1/2,-y,-z'
'-x+1/2,y,z'
'-y,-x,-z'
'y,x,z'
'-x,y+1/2,-z'
'x,-y+1/2,z'
'y+1/2,x+1/2,-z'
'-y+1/2,-x+1/2,z'
loop_
_atom_site_label
_atom_site_type_symbol
_atom_site_fract_x
_atom_site_fract_y
_atom_site_fract_z
_atom_site_occupancy
Er1 Er 0.2500 0.2500 0.1025 1
Tl1 Tl 0.2500 0.7500 0.5000 1
P1 P 0.2500 0.2500 0.7247 1
O1 O 0.2500 0.7500 0.0000 1
```



C.
ErTlPO | PBE | relaxed

Results
Total magnetic moment   0.0 μB/cell

Geometry as CIF:
```
data_ErTlPO
_chemical_formula_sum 'Er2 Tl2 P2 O2'
_cell_length_a 4.7790
_cell_length_b 8.0789
_cell_length_c 5.3466
_cell_angle_alpha 90.00
_cell_angle_beta 90.00
_cell_angle_gamma 90.00
_symmetry_space_group_name_H-M 'P m c 21'
_symmetry_Int_Tables_number 26
_symmetry_space_group_name_Hall 'P 2c -2'
loop_
_atom_site_label
_atom_site_type_symbol
_atom_site_fract_x
_atom_site_fract_y
_atom_site_fract_z
_atom_site_occupancy
Er1 Er 0.0000 0.1403 0.0000 1
Tl1 Tl 0.5000 0.3209 0.4344 1
P1 P 0.5000 0.3051 0.9305 1
O1 O 0.0000 0.1055 0.3844 1
```



D.
ErTlPO | PBE | relaxed

Results
Total magnetic moment   0.3 μB/cell

Geometry as CIF:
```
data_ErTlPO
_chemical_formula_sum 'Er2 Tl2 P2 O2'
_cell_length_a 4.0051
_cell_length_b 7.9404
_cell_length_c 5.7127
_cell_angle_alpha 90.00
_cell_angle_beta 90.00
_cell_angle_gamma 90.00
_symmetry_space_group_name_H-M 'P m c 21'
_symmetry_Int_Tables_number 26
_symmetry_space_group_name_Hall 'P 2c -2'
loop_
_atom_site_label
_atom_site_type_symbol
_atom_site_fract_x
_atom_site_fract_y
_atom_site_fract_z
_atom_site_occupancy
Er1 Er 0.0000 0.1820 0.0000 1
Tl1 Tl 0.5000 0.3780 0.5304 1
P1 P 0.0000 0.1659 0.4954 1
O1 O 0.5000 0.2836 0.9903 1
```



Preferred: C; penalty for the next structure: 30 meV per atom.



A.
Er2Pd2O5 | PBE | relaxed

Results
Total magnetic moment   0.0 μB/cell

Geometry as CIF:
```
data_Er2Pd2O5
_chemical_formula_sum 'Er2 Pd2 O5'
_cell_length_a 3.9911
_cell_length_b 3.9911
_cell_length_c 6.8088
_cell_angle_alpha 90.00
_cell_angle_beta 90.00
_cell_angle_gamma 90.00
_symmetry_space_group_name_H-M 'P 4/m m m'
_symmetry_Int_Tables_number 123
_symmetry_space_group_name_Hall '-P 4 2'
loop_
_atom_site_label
_atom_site_type_symbol
_atom_site_fract_x
_atom_site_fract_y
_atom_site_fract_z
_atom_site_occupancy
Er1 Er 0.0000 0.0000 0.0000 1
Er2 Er 0.0000 0.0000 0.5000 1
Pd1 Pd 0.5000 0.5000 0.1904 1
O1 O 0.0000 0.5000 0.2263 1
O2 O 0.5000 0.5000 0.5000 1
```



B.
Er2Pd2O5 | PBE | relaxed

Results
Total magnetic moment   0.8 μB/cell

Geometry as CIF:
```
data_Er2Pd2O5
_chemical_formula_sum 'Er2 Pd2 O5'
_cell_length_a 3.7881
_cell_length_b 3.7881
_cell_length_c 8.8306
_cell_angle_alpha 90.00
_cell_angle_beta 90.00
_cell_angle_gamma 90.00
_symmetry_space_group_name_H-M 'P 4/m m m'
_symmetry_Int_Tables_number 123
_symmetry_space_group_name_Hall '-P 4 2'
loop_
_atom_site_label
_atom_site_type_symbol
_atom_site_fract_x
_atom_site_fract_y
_atom_site_fract_z
_atom_site_occupancy
Er1 Er 0.0000 0.0000 0.2446 1
Pd1 Pd 0.5000 0.5000 0.0000 1
Pd2 Pd 0.5000 0.5000 0.5000 1
O1 O 0.0000 0.0000 0.0000 1
O2 O 0.0000 0.5000 0.3598 1
```



Preferred: A; penalty for the next structure: 40 meV per atom.



A.
Pm2Er2O5 | PBE | relaxed

Results
Total magnetic moment   1.3 μB/cell

Geometry as CIF:
```
data_Pm2Er2O5
_chemical_formula_sum 'Pm2 Er2 O5'
_cell_length_a 3.9711
_cell_length_b 3.9711
_cell_length_c 9.3934
_cell_angle_alpha 90.00
_cell_angle_beta 90.00
_cell_angle_gamma 90.00
_symmetry_space_group_name_H-M 'P 4/m m m'
_symmetry_Int_Tables_number 123
_symmetry_space_group_name_Hall '-P 4 2'
loop_
_atom_site_label
_atom_site_type_symbol
_atom_site_fract_x
_atom_site_fract_y
_atom_site_fract_z
_atom_site_occupancy
Pm1 Pm 0.0000 0.0000 0.2425 1
Er1 Er 0.5000 0.5000 0.0000 1
Er2 Er 0.5000 0.5000 0.5000 1
O1 O 0.0000 0.0000 0.5000 1
O2 O 0.0000 0.5000 0.1385 1
```



B.
Pm2Er2O5 | PBE | relaxed

Results
Total magnetic moment   0.0 μB/cell

Geometry as CIF:
```
data_Pm2Er2O5
_chemical_formula_sum 'Pm2 Er2 O5'
_cell_length_a 4.2884
_cell_length_b 4.2884
_cell_length_c 7.6275
_cell_angle_alpha 90.00
_cell_angle_beta 90.00
_cell_angle_gamma 90.00
_symmetry_space_group_name_H-M 'P 4/m m m'
_symmetry_Int_Tables_number 123
_symmetry_space_group_name_Hall '-P 4 2'
loop_
_atom_site_label
_atom_site_type_symbol
_atom_site_fract_x
_atom_site_fract_y
_atom_site_fract_z
_atom_site_occupancy
Pm1 Pm 0.0000 0.0000 0.0000 1
Pm2 Pm 0.0000 0.0000 0.5000 1
Er1 Er 0.5000 0.5000 0.2284 1
O1 O 0.0000 0.5000 0.2408 1
O2 O 0.5000 0.5000 0.5000 1
```



Preferred: B; penalty for the next structure: 15 meV per atom.



A.
Er2Re2O5 | PBE | relaxed

Results
Total magnetic moment   0.0 μB/cell

Geometry as CIF:
```
data_Er2Re2O5
_chemical_formula_sum 'Er2 Re2 O5'
_cell_length_a 3.9619
_cell_length_b 3.9619
_cell_length_c 6.7258
_cell_angle_alpha 90.00
_cell_angle_beta 90.00
_cell_angle_gamma 90.00
_symmetry_space_group_name_H-M 'P 4/m m m'
_symmetry_Int_Tables_number 123
_symmetry_space_group_name_Hall '-P 4 2'
loop_
_atom_site_label
_atom_site_type_symbol
_atom_site_fract_x
_atom_site_fract_y
_atom_site_fract_z
_atom_site_occupancy
Er1 Er 0.0000 0.0000 0.0000 1
Er2 Er 0.0000 0.0000 0.5000 1
Re1 Re 0.5000 0.5000 0.1752 1
O1 O 0.0000 0.5000 0.2425 1
O2 O 0.5000 0.5000 0.5000 1
```



B.
Er2Re2O5 | PBE | relaxed

Results
Total magnetic moment   2.5 μB/cell

Geometry as CIF:
```
data_Er2Re2O5
_chemical_formula_sum 'Er2 Re2 O5'
_cell_length_a 3.5007
_cell_length_b 3.5007
_cell_length_c 9.3916
_cell_angle_alpha 90.00
_cell_angle_beta 90.00
_cell_angle_gamma 90.00
_symmetry_space_group_name_H-M 'P 4/m m m'
_symmetry_Int_Tables_number 123
_symmetry_space_group_name_Hall '-P 4 2'
loop_
_atom_site_label
_atom_site_type_symbol
_atom_site_fract_x
_atom_site_fract_y
_atom_site_fract_z
_atom_site_occupancy
Er1 Er 0.0000 0.0000 0.2349 1
Re1 Re 0.5000 0.5000 0.0000 1
Re2 Re 0.5000 0.5000 0.5000 1
O1 O 0.0000 0.0000 0.0000 1
O2 O 0.0000 0.5000 0.3757 1
```



Preferred: A; penalty for the next structure: 343 meV per atom.



A.
Er2Si2O5 | PBE | relaxed

Results
Total magnetic moment   0.0 μB/cell

Geometry as CIF:
```
data_Er2Si2O5
_chemical_formula_sum 'Er2 Si2 O5'
_cell_length_a 3.8667
_cell_length_b 3.8667
_cell_length_c 6.3429
_cell_angle_alpha 90.00
_cell_angle_beta 90.00
_cell_angle_gamma 90.00
_symmetry_space_group_name_H-M 'P 4/m m m'
_symmetry_Int_Tables_number 123
_symmetry_space_group_name_Hall '-P 4 2'
loop_
_atom_site_label
_atom_site_type_symbol
_atom_site_fract_x
_atom_site_fract_y
_atom_site_fract_z
_atom_site_occupancy
Er1 Er 0.0000 0.0000 0.0000 1
Er2 Er 0.0000 0.0000 0.5000 1
Si1 Si 0.5000 0.5000 0.2192 1
O1 O 0.0000 0.5000 0.2398 1
O2 O 0.5000 0.5000 0.5000 1
```



B.
Er2Si2O5 | PBE | relaxed

Results
Total magnetic moment   0.0 μB/cell

Geometry as CIF:
```
data_Er2Si2O5
_chemical_formula_sum 'Er2 Si2 O5'
_cell_length_a 3.4775
_cell_length_b 3.4775
_cell_length_c 9.3219
_cell_angle_alpha 90.00
_cell_angle_beta 90.00
_cell_angle_gamma 90.00
_symmetry_space_group_name_H-M 'P 4/m m m'
_symmetry_Int_Tables_number 123
_symmetry_space_group_name_Hall '-P 4 2'
loop_
_atom_site_label
_atom_site_type_symbol
_atom_site_fract_x
_atom_site_fract_y
_atom_site_fract_z
_atom_site_occupancy
Er1 Er 0.0000 0.0000 0.2444 1
Si1 Si 0.5000 0.5000 0.0000 1
Si2 Si 0.5000 0.5000 0.5000 1
O1 O 0.0000 0.0000 0.0000 1
O2 O 0.0000 0.5000 0.3786 1
```



Preferred: A; penalty for the next structure: 206 meV per atom.



A.
Er2Si2O7 | PBE | relaxed

Results
Total magnetic moment   0.0 μB/cell

Geometry as CIF:
```
data_Er2Si2O7
_chemical_formula_sum 'Er4 Si4 O14'
_cell_length_a 4.6825
_cell_length_b 10.7487
_cell_length_c 5.5274
_cell_angle_alpha 90.00
_cell_angle_beta 96.06
_cell_angle_gamma 90.00
_symmetry_space_group_name_H-M 'P 1 21/c 1'
_symmetry_Int_Tables_number 14
_symmetry_space_group_name_Hall '-P 2ybc'
loop_
_atom_site_label
_atom_site_type_symbol
_atom_site_fract_x
_atom_site_fract_y
_atom_site_fract_z
_atom_site_occupancy
Er1 Er 0.1123 0.1503 0.4075 1
Si1 Si 0.3591 0.6133 0.6449 1
O1 O 0.1202 0.6841 0.4577 1
O2 O 0.2046 0.5513 0.8703 1
O3 O 0.3809 0.2048 0.7455 1
O4 O 0.5000 0.0000 0.0000 1
```



B.
Er2Si2O7 | PBE | relaxed

Results
Total magnetic moment   0.0 μB/cell

Geometry as CIF:
```
data_Er2Si2O7
_chemical_formula_sum 'Er8 Si8 O28'
_cell_length_a 6.5606
_cell_length_b 6.5960
_cell_length_c 11.9455
_cell_angle_alpha 94.32
_cell_angle_beta 91.07
_cell_angle_gamma 91.87
_symmetry_space_group_name_H-M 'P -1'
_symmetry_Int_Tables_number 2
_symmetry_space_group_name_Hall '-P 1'
loop_
_atom_site_label
_atom_site_type_symbol
_atom_site_fract_x
_atom_site_fract_y
_atom_site_fract_z
_atom_site_occupancy
Er1 Er 0.0516 0.3286 0.1145 1
Er2 Er 0.1159 0.0885 0.3572 1
Er3 Er 0.3259 0.8275 0.1096 1
Er4 Er 0.3701 0.2199 0.6319 1
Si1 Si 0.1436 0.6240 0.3799 1
Si2 Si 0.1574 0.1487 0.8842 1
Si3 Si 0.3791 0.7264 0.5963 1
Si4 Si 0.4862 0.6653 0.8272 1
O1 O 0.9997 0.0163 0.1846 1
O2 O 0.9997 0.3346 0.9180 1
O3 O 0.0394 0.2288 0.5749 1
O4 O 0.0728 0.4130 0.3101 1
O5 O 0.2262 0.9074 0.6242 1
O6 O 0.2376 0.0876 0.0060 1
O7 O 0.2877 0.7824 0.3116 1
O8 O 0.2896 0.5718 0.4894 1
O9 O 0.2961 0.7071 0.9092 1
O10 O 0.3519 0.2116 0.8125 1
O11 O 0.3544 0.4897 0.1229 1
O12 O 0.3852 0.1364 0.2127 1
O13 O 0.3983 0.5645 0.6960 1
O14 O 0.4109 0.1694 0.4464 1
```



C.
Er2Si2O7 | PBE | relaxed

Results
Total magnetic moment   0.0 μB/cell

Geometry as CIF:
```
data_Er2Si2O7
_chemical_formula_sum 'Er16 Si16 O56'
_cell_length_a 6.5312
_cell_length_b 6.5312
_cell_length_c 23.8191
_cell_angle_alpha 90.00
_cell_angle_beta 90.00
_cell_angle_gamma 90.00
_symmetry_space_group_name_H-M 'P 41'
_symmetry_Int_Tables_number 76
_symmetry_space_group_name_Hall 'P 4w'
loop_
_atom_site_label
_atom_site_type_symbol
_atom_site_fract_x
_atom_site_fract_y
_atom_site_fract_z
_atom_site_occupancy
Er1 Er 0.0157 0.6539 0.0000 1
Er2 Er 0.1472 0.5888 0.3567 1
Er3 Er 0.2338 0.2908 0.1046 1
Er4 Er 0.2356 0.3570 0.7410 1
Si1 Si 0.1100 0.1721 0.9672 1
Si2 Si 0.1326 0.7718 0.1190 1
Si3 Si 0.2369 0.6349 0.6162 1
Si4 Si 0.2377 0.5165 0.2243 1
O1 O 0.0044 0.9574 0.2392 1
O2 O 0.0349 0.2736 0.3880 1
O3 O 0.0465 0.6438 0.4466 1
O4 O 0.0621 0.5075 0.2718 1
O5 O 0.0733 0.6058 0.5648 1
O6 O 0.0782 0.1728 0.5879 1
O7 O 0.0907 0.7726 0.6591 1
O8 O 0.0927 0.6139 0.1721 1
O9 O 0.2267 0.4226 0.8407 1
O10 O 0.2706 0.7193 0.7589 1
O11 O 0.2809 0.6347 0.0772 1
O12 O 0.3026 0.6816 0.9489 1
O13 O 0.3293 0.4146 0.4957 1
O14 O 0.3293 0.4403 0.6500 1
```



Preferred: A; penalty for the next structure: 27 meV per atom.